1.
Entry from the Alexandria database: an optimized crystal structure of SrAsSe2N (PBE).

Calculated values
As for the energy above the most stable polymorph in this dataset: 27.624 kcal/mol of atoms.

Unit cell a=5.7948 b=5.7948 c=4.7063 alpha=90.00 beta=90.00 gamma=90.00
Space group P4/mmm (No. 123)
Symmetry-distinct sites (fractional):
Sr 0.0000 0.0000 0.0000 x1
As 0.5000 0.5000 0.5000 x1
Se 0.0000 0.5000 0.0000 x2
N 0.0000 0.0000 0.5000 x1

***

2.
Entry from the Alexandria database: an optimized crystal structure of Ba2ScBr (PBE).

Calculated values
As for the energy above the most stable polymorph in this dataset: 3.774 kcal/mol of atoms.

Unit cell a=3.8305 b=6.2323 c=12.8007 alpha=90.00 beta=90.00 gamma=90.00
Space group Imm2 (No. 44)
Symmetry-distinct sites (fractional):
Ba 0.0000 0.0000 0.0000 x2
Ba 0.0000 0.5000 0.1967 x2
Sc 0.0000 0.0000 0.4207 x2
Br 0.0000 0.5000 0.7386 x2

***

3.
Entry from the Alexandria database: an optimized crystal structure of NaCaTl2Pd (PBE).

Calculated values
The value obtained for the energy of formation from the pure elements is -184 meV/atom.

Unit cell a=5.3997 b=5.3997 c=5.3759 alpha=90.00 beta=90.00 gamma=90.00
Space group P4/mmm (No. 123)
Symmetry-distinct sites (fractional):
Na 0.0000 0.0000 0.0000 x1
Ca 0.5000 0.5000 0.0000 x1
Tl 0.0000 0.5000 0.5000 x2
Pd 0.5000 0.5000 0.5000 x1

***

4.
Entry from the Alexandria database: an optimized crystal structure of Hf4TlTc (PBE).

Calculated values
As for the energy above the most stable polymorph in this dataset: 0.000 kcal/mol of atoms. The value obtained for the energy of formation from the pure elements is -157 meV/atom.

Unit cell a=3.2953 b=3.2953 c=11.4790 alpha=90.00 beta=90.00 gamma=90.00
Space group P4/mmm (No. 123)
Symmetry-distinct sites (fractional):
Hf 0.0000 0.0000 0.1380 x2
Hf 0.5000 0.5000 0.3178 x2
Tl 0.0000 0.0000 0.5000 x1
Tc 0.5000 0.5000 0.0000 x1

***

5.
Entry from the Alexandria database: an optimized crystal structure of NaNbCu2 (PBE).

Calculated values
As for the energy above the most stable polymorph in this dataset: 0.000 kcal/mol of atoms. The value obtained for the energy of formation from the pure elements is 531 meV/atom.

Unit cell a=6.3330 b=6.3330 c=6.3330 alpha=90.00 beta=90.00 gamma=90.00
Space group Fm-3m (No. 225)
Symmetry-distinct sites (fractional):
Na 0.0000 0.0000 0.0000 x4
Nb 0.0000 0.0000 0.5000 x4
Cu 0.2500 0.2500 0.2500 x8

***

6.
Entry from the Alexandria database: an optimized crystal structure of Al6Pb7 (PBE).

Calculated values
The value obtained for the energy of formation from the pure elements is 405 meV/atom.

Unit cell a=6.8766 b=6.8766 c=27.4404 alpha=90.00 beta=90.00 gamma=120.00
Space group R-3m (No. 166, hexagonal axes)
Symmetry-distinct sites (fractional):
Al 0.0000 0.0000 0.0511 x6
Al 0.0000 0.0000 0.1529 x6
Al 0.0000 0.0000 0.3370 x6
Pb 0.0000 0.0000 0.5000 x3
Pb 0.0132 0.5066 0.9202 x18

***

7.
Entry from the Alexandria database: an optimized crystal structure of PRh3 (PBE).

Calculated values
The value obtained for the energy of formation from the pure elements is -314 meV/atom.

Unit cell a=2.8442 b=4.2483 c=9.1513 alpha=90.00 beta=90.00 gamma=90.00
Space group Immm (No. 71)
Symmetry-distinct sites (fractional):
P 0.0000 0.0000 0.0000 x2
Rh 0.0000 0.0000 0.5000 x2
Rh 0.0000 0.5000 0.3000 x4

***

8.
Entry from the Alexandria database: an optimized crystal structure of CsAgS2N (PBE).

Calculated values
As for the calculated total energy: -2.110 eV per atom.

Unit cell a=5.4925 b=5.4925 c=4.3340 alpha=90.00 beta=90.00 gamma=90.00
Space group P4/mmm (No. 123)
Symmetry-distinct sites (fractional):
Cs 0.0000 0.0000 0.0000 x1
Ag 0.5000 0.5000 0.5000 x1
S 0.0000 0.5000 0.0000 x2
N 0.0000 0.0000 0.5000 x1